No. 1
Computed, not measured: a relaxed structure of K2TbCo3F12 at the PBE with a Hubbard U level of DFT.

The structure in POSCAR format:
```
K2TbCo3F12
1.0
3.7627 2.1724 5.7297
-3.7627 2.1724 5.7297
0.0000 -4.3448 5.7297
K Tb Co F
2 1 3 12
direct
0.1214 0.1214 0.1214
0.8786 0.8786 0.8786
0.5000 0.5000 0.5000
0.0000 0.5000 0.5000
0.5000 0.0000 0.5000
0.5000 0.5000 0.0000
0.1264 0.6124 0.6124
0.2155 0.2155 0.5981
0.2155 0.5981 0.2155
0.3876 0.3876 0.8736
0.3876 0.8736 0.3876
0.4019 0.7845 0.7845
0.5981 0.2155 0.2155
0.6124 0.1264 0.6124
0.6124 0.6124 0.1264
0.7845 0.4019 0.7845
0.7845 0.7845 0.4019
0.8736 0.3876 0.3876
```

Values from the calculation:
Its total energy is -5.139 eV/atom.



No. 2
Computed, not measured: a relaxed structure of KTbCo2F8 at the PBE with a Hubbard U level of DFT.

The structure in POSCAR format:
```
KTbCo2F8
1.0
5.1847 0.0000 0.0000
0.8179 5.1704 0.0000
0.9306 0.8282 7.4056
K Tb Co F
1 1 2 8
direct
0.0000 0.0000 0.0000
0.0000 0.0000 0.5000
0.4547 0.4545 0.2173
0.5453 0.5455 0.7827
0.2055 0.7615 0.7207
0.2309 0.7860 0.2822
0.2855 0.2753 0.4429
0.3448 0.3356 0.9994
0.6552 0.6644 0.0006
0.7145 0.7247 0.5571
0.7691 0.2140 0.7178
0.7945 0.2385 0.2793
```

Values from the calculation:
Its total energy is -5.435 eV/atom.



No. 3
Computed, not measured: a relaxed structure of KCo2TeF at the PBE with a Hubbard U level of DFT.

The structure in POSCAR format:
```
KCo2TeF
1.0
5.2479 0.0000 0.0000
0.0000 5.2479 0.0000
0.0000 0.0000 4.3715
K Co Te F
1 2 1 1
direct
0.0000 0.0000 0.0000
0.0000 0.5000 0.0000
0.5000 0.0000 0.0000
0.5000 0.5000 0.5000
0.0000 0.0000 0.5000
```

Values from the calculation:
Its total energy is -2.557 eV/atom.



No. 4
Computed, not measured: a relaxed structure of KTl2Co3F12 at the PBE with a Hubbard U level of DFT.

The structure in POSCAR format:
```
KTl2Co3F12
1.0
3.7499 2.1650 5.6655
-3.7499 2.1650 5.6655
0.0000 -4.3300 5.6655
K Tl Co F
1 2 3 12
direct
0.0000 0.0000 0.0000
0.3831 0.3831 0.3831
0.6169 0.6169 0.6169
0.0000 0.0000 0.5000
0.0000 0.5000 0.0000
0.5000 0.0000 0.0000
0.1058 0.7278 0.7278
0.1330 0.1330 0.5487
0.1330 0.5487 0.1330
0.2722 0.2722 0.8942
0.2722 0.8942 0.2722
0.4513 0.8670 0.8670
0.5487 0.1330 0.1330
0.7278 0.1058 0.7278
0.7278 0.7278 0.1058
0.8670 0.4513 0.8670
0.8670 0.8670 0.4513
0.8942 0.2722 0.2722
```

Values from the calculation:
Its total energy is -4.406 eV/atom.